No. 1
! Tl2TeCCl | Alexandria | GGA-PBE | optimized geometry; values from VASP
! VASP energy = -12.39 eV/cell
&SYSTEM
  ibrav = 0, nat = 5, ntyp = 4
/
ATOMIC_SPECIES
Tl 204.38 Tl.upf
C 12.01 C.upf
Cl 35.45 Cl.upf
Te 127.60 Te.upf
CELL_PARAMETERS angstrom
6.128 0.000 0.000
0.000 5.315 0.000
0.000 0.000 6.128
ATOMIC_POSITIONS crystal
Tl 0.500 0.000 0.000
Tl 0.000 0.000 0.500
C 0.500 0.500 0.500
Cl 0.000 0.000 0.000
Te 0.000 0.500 0.000

---

No. 2
! Y3TeCCl | Alexandria | GGA-PBE | optimized geometry; values from VASP
! VASP energy = -79.79 eV/cell
&SYSTEM
  ibrav = 0, nat = 12, ntyp = 4
/
ATOMIC_SPECIES
Y 88.91 Y.upf
C 12.01 C.upf
Cl 35.45 Cl.upf
Te 127.60 Te.upf
CELL_PARAMETERS angstrom
-3.777 0.427 0.646
-0.104 -7.129 4.103
1.979 5.500 7.943
ATOMIC_POSITIONS crystal
Y 0.750 0.369 0.623
Y 0.750 0.418 0.120
Y 0.250 0.582 0.880
Y 0.250 0.631 0.377
Y 0.750 0.837 0.132
Y 0.250 0.163 0.868
C 0.750 0.368 0.864
C 0.250 0.632 0.136
Cl 0.250 0.139 0.585
Cl 0.750 0.861 0.415
Te 0.750 0.861 0.819
Te 0.250 0.139 0.181

---

No. 3
! Th2CCl3 | Alexandria | GGA-PBE | optimized geometry; values from VASP
! VASP energy = -77.90 eV/cell
&SYSTEM
  ibrav = 0, nat = 12, ntyp = 3
/
ATOMIC_SPECIES
Th 232.04 Th.upf
Cl 35.45 Cl.upf
C 12.01 C.upf
CELL_PARAMETERS angstrom
-2.089 2.185 2.857
-3.680 -5.916 4.862
5.631 -1.523 8.309
ATOMIC_POSITIONS crystal
Th 0.585 0.283 0.547
Th 0.132 0.520 0.215
Th 0.868 0.480 0.785
Th 0.415 0.717 0.453
Cl 0.226 0.161 0.386
Cl 0.048 0.141 0.763
Cl 0.952 0.859 0.237
Cl 0.774 0.839 0.614
Cl 0.333 0.319 0.015
Cl 0.667 0.681 0.985
C 0.421 0.493 0.666
C 0.579 0.507 0.334

---

No. 4
! Th8C6Cl | Alexandria | GGA-PBE | optimized geometry; values from VASP
! VASP energy = -121.77 eV/cell
&SYSTEM
  ibrav = 0, nat = 15, ntyp = 3
/
ATOMIC_SPECIES
C 12.01 C.upf
Th 232.04 Th.upf
Cl 35.45 Cl.upf
CELL_PARAMETERS angstrom
-3.330 1.552 0.972
-0.829 -6.487 7.519
4.511 8.765 1.456
ATOMIC_POSITIONS crystal
C 0.752 0.481 0.346
C 0.752 0.865 0.519
C 0.248 0.519 0.654
C 0.752 0.654 0.135
C 0.248 0.346 0.865
C 0.248 0.135 0.481
Th 0.745 0.675 0.637
Th 0.750 0.333 0.667
Th 0.745 0.363 0.038
Th 0.745 0.962 0.325
Th 0.250 0.667 0.333
Th 0.255 0.637 0.962
Th 0.255 0.325 0.363
Th 0.255 0.038 0.675
Cl 0.500 0.000 0.000

---

No. 5
! ThCCl | Alexandria | GGA-PBE | optimized geometry; values from VASP
! VASP energy = -19.23 eV/cell
&SYSTEM
  ibrav = 0, nat = 3, ntyp = 3
/
ATOMIC_SPECIES
Th 232.04 Th.upf
Cl 35.45 Cl.upf
C 12.01 C.upf
CELL_PARAMETERS angstrom
3.512 0.000 0.000
0.000 3.512 0.000
-1.756 -1.756 5.172
ATOMIC_POSITIONS crystal
Th 0.718 0.718 0.435
Cl 0.007 0.007 0.014
C 0.275 0.275 0.550

---

No. 6
! Th3CCl3 | Alexandria | GGA-PBE | optimized geometry; values from VASP
! VASP energy = -92.56 eV/cell
&SYSTEM
  ibrav = 0, nat = 14, ntyp = 3
/
ATOMIC_SPECIES
Th 232.04 Th.upf
Cl 35.45 Cl.upf
C 12.01 C.upf
CELL_PARAMETERS angstrom
6.323 0.000 2.032
2.835 5.652 2.032
-0.048 -0.029 11.002
ATOMIC_POSITIONS crystal
Th 0.955 0.302 0.136
Th 0.302 0.608 0.136
Th 0.698 0.392 0.864
Th 0.392 0.045 0.864
Th 0.045 0.698 0.864
Th 0.608 0.955 0.136
Cl 0.438 0.777 0.677
Cl 0.562 0.223 0.323
Cl 0.108 0.438 0.677
Cl 0.223 0.892 0.323
Cl 0.777 0.108 0.677
Cl 0.892 0.562 0.323
C 0.667 0.667 0.000
C 0.333 0.333 0.000

---

No. 7
! Th5C4Cl | Alexandria | GGA-PBE | optimized geometry; values from VASP
! VASP energy = -81.26 eV/cell
&SYSTEM
  ibrav = 0, nat = 10, ntyp = 3
/
ATOMIC_SPECIES
Th 232.04 Th.upf
C 12.01 C.upf
Cl 35.45 Cl.upf
CELL_PARAMETERS angstrom
-2.845 -0.040 -2.537
-5.692 -0.003 3.519
-2.534 8.285 -0.153
ATOMIC_POSITIONS crystal
Th 0.209 0.901 0.680
Th 0.791 0.099 0.320
Th 0.389 0.344 0.878
Th 0.611 0.656 0.122
Th 0.000 0.500 0.500
C 0.601 0.198 0.601
C 0.799 0.600 0.801
C 0.201 0.400 0.199
C 0.399 0.802 0.399
Cl 0.000 0.000 0.000

---

No. 8
! Ti3CCl3 | Alexandria | GGA-PBE | optimized geometry; values from VASP
! VASP energy = -94.63 eV/cell
&SYSTEM
  ibrav = 0, nat = 14, ntyp = 3
/
ATOMIC_SPECIES
Ti 47.87 Ti.upf
Cl 35.45 Cl.upf
C 12.01 C.upf
CELL_PARAMETERS angstrom
-2.209 -4.781 -1.978
3.371 -4.062 -1.945
0.826 -6.748 7.391
ATOMIC_POSITIONS crystal
Ti 0.683 0.396 0.882
Ti 0.317 0.604 0.118
Ti 0.961 0.317 0.118
Ti 0.039 0.683 0.882
Ti 0.396 0.039 0.882
Ti 0.604 0.961 0.118
Cl 0.425 0.770 0.708
Cl 0.903 0.575 0.292
Cl 0.230 0.903 0.292
Cl 0.097 0.425 0.708
Cl 0.575 0.230 0.292
Cl 0.770 0.097 0.708
C 0.333 0.333 0.000
C 0.667 0.667 0.000

---

No. 9
! TiCCl3 | Alexandria | GGA-PBE | optimized geometry; values from VASP
! Energy above the most stable polymorph in this dataset = 0.000 eV per atom
! VASP energy = -20.74 eV/cell
&SYSTEM
  ibrav = 0, nat = 5, ntyp = 3
/
ATOMIC_SPECIES
Cl 35.45 Cl.upf
C 12.01 C.upf
Ti 47.87 Ti.upf
CELL_PARAMETERS angstrom
4.811 0.000 0.000
0.000 4.811 0.000
0.000 0.000 4.811
ATOMIC_POSITIONS crystal
Cl 0.500 0.000 0.000
Cl 0.000 0.000 0.500
Cl 0.000 0.500 0.000
C 0.500 0.500 0.500
Ti 0.000 0.000 0.000

---

No. 10
! Ti7CCl12 | Alexandria | GGA-PBE | optimized geometry; values from VASP
! VASP energy = -115.03 eV/cell
&SYSTEM
  ibrav = 0, nat = 20, ntyp = 3
/
ATOMIC_SPECIES
Ti 47.87 Ti.upf
Cl 35.45 Cl.upf
C 12.01 C.upf
CELL_PARAMETERS angstrom
-6.245 -4.975 0.007
4.816 -2.021 -6.040
4.001 -0.980 6.840
ATOMIC_POSITIONS crystal
Ti 0.113 0.051 0.294
Ti 0.294 0.113 0.051
Ti 0.500 0.500 0.500
Ti 0.887 0.949 0.706
Ti 0.706 0.887 0.949
Ti 0.949 0.706 0.887
Ti 0.051 0.294 0.113
Cl 0.072 0.708 0.211
Cl 0.292 0.789 0.928
Cl 0.533 0.844 0.611
Cl 0.708 0.211 0.072
Cl 0.611 0.533 0.844
Cl 0.389 0.467 0.156
Cl 0.211 0.072 0.708
Cl 0.928 0.292 0.789
Cl 0.789 0.928 0.292
Cl 0.844 0.611 0.533
Cl 0.467 0.156 0.389
Cl 0.156 0.389 0.467
C 0.000 0.000 0.000

---

No. 11
! TiCCl2 | Alexandria | GGA-PBE | optimized geometry; values from VASP
! Energy above the most stable polymorph in this dataset = 0.840 eV per atom
! VASP energy = -17.19 eV/cell
&SYSTEM
  ibrav = 0, nat = 4, ntyp = 3
/
ATOMIC_SPECIES
Cl 35.45 Cl.upf
Ti 47.87 Ti.upf
C 12.01 C.upf
CELL_PARAMETERS angstrom
0.000 3.058 3.058
3.058 0.000 3.058
3.058 3.058 0.000
ATOMIC_POSITIONS crystal
Cl 0.250 0.250 0.250
Cl 0.750 0.750 0.750
Ti 0.500 0.500 0.500
C 0.000 0.000 0.000

---

No. 12
! TiCCl3 | Alexandria | GGA-PBE | optimized geometry; values from VASP
! Energy above the most stable polymorph in this dataset = 0.571 eV per atom
! VASP energy = -17.88 eV/cell
&SYSTEM
  ibrav = 0, nat = 5, ntyp = 3
/
ATOMIC_SPECIES
Cl 35.45 Cl.upf
C 12.01 C.upf
Ti 47.87 Ti.upf
CELL_PARAMETERS angstrom
-1.196 3.369 2.586
1.632 -2.116 3.511
3.921 1.908 -0.673
ATOMIC_POSITIONS crystal
Cl 0.000 0.500 0.000
Cl 0.500 0.000 0.000
Cl 0.000 0.000 0.500
C 0.000 0.000 0.000
Ti 0.500 0.500 0.500

---

No. 13
! TiCCl2 | Alexandria | GGA-PBE | optimized geometry; values from VASP
! Energy above the most stable polymorph in this dataset = 0.000 eV per atom
! VASP energy = -41.09 eV/cell
&SYSTEM
  ibrav = 0, nat = 8, ntyp = 3
/
ATOMIC_SPECIES
C 12.01 C.upf
Cl 35.45 Cl.upf
Ti 47.87 Ti.upf
CELL_PARAMETERS angstrom
-7.198 4.961 -2.733
-3.884 -7.541 -3.456
-6.452 -1.634 -1.322
ATOMIC_POSITIONS crystal
C 0.500 0.500 0.000
C 0.250 0.750 0.500
Cl 0.956 0.125 0.250
Cl 0.875 0.206 0.750
Cl 0.375 0.044 0.750
Cl 0.794 0.625 0.250
Ti 0.750 0.250 0.500
Ti 0.000 0.000 0.000

---

No. 14
! TiCCl2 | Alexandria | GGA-PBE | optimized geometry; values from VASP
! Energy above the most stable polymorph in this dataset = 0.646 eV per atom
! VASP energy = -17.96 eV/cell
&SYSTEM
  ibrav = 0, nat = 4, ntyp = 3
/
ATOMIC_SPECIES
Ti 47.87 Ti.upf
Cl 35.45 Cl.upf
C 12.01 C.upf
CELL_PARAMETERS angstrom
-1.952 7.692 2.042
-2.459 6.198 4.763
0.444 7.137 4.002
ATOMIC_POSITIONS crystal
Ti 0.500 0.500 0.500
Cl 0.903 0.903 0.903
Cl 0.097 0.097 0.097
C 0.000 0.000 0.000

---

No. 15
! TiZnC2Cl | Alexandria | GGA-PBE | optimized geometry; values from VASP
! VASP energy = -17.94 eV/cell
&SYSTEM
  ibrav = 0, nat = 5, ntyp = 4
/
ATOMIC_SPECIES
Ti 47.87 Ti.upf
Cl 35.45 Cl.upf
Zn 65.41 Zn.upf
C 12.01 C.upf
CELL_PARAMETERS angstrom
-1.533 -2.955 -2.482
-2.290 -1.627 3.350
-3.188 2.474 -0.977
ATOMIC_POSITIONS crystal
Ti 0.000 0.500 0.000
Cl 0.000 0.000 0.000
Zn 0.500 0.500 0.500
C 0.000 0.000 0.500
C 0.500 0.000 0.000

---

No. 16
! TlC3Cl | Alexandria | GGA-PBE | optimized geometry; values from VASP
! Energy above the most stable polymorph in this dataset = 0.000 eV per atom
! VASP energy = -15.10 eV/cell
&SYSTEM
  ibrav = 0, nat = 5, ntyp = 3
/
ATOMIC_SPECIES
C 12.01 C.upf
Tl 204.38 Tl.upf
Cl 35.45 Cl.upf
CELL_PARAMETERS angstrom
4.098 0.000 0.000
0.000 4.098 0.000
0.000 0.000 4.098
ATOMIC_POSITIONS crystal
C 0.500 0.000 0.000
C 0.000 0.000 0.500
C 0.000 0.500 0.000
Tl 0.500 0.500 0.500
Cl 0.000 0.000 0.000

---

No. 17
! Tl3CCl | Alexandria | GGA-PBE | optimized geometry; values from VASP
! Energy above the most stable polymorph in this dataset = 0.000 eV per atom
! VASP energy = -15.44 eV/cell
&SYSTEM
  ibrav = 0, nat = 5, ntyp = 3
/
ATOMIC_SPECIES
Tl 204.38 Tl.upf
Cl 35.45 Cl.upf
C 12.01 C.upf
CELL_PARAMETERS angstrom
-3.716 -1.013 3.464
-2.560 -2.764 -3.555
2.543 -4.263 1.482
ATOMIC_POSITIONS crystal
Tl 0.000 0.000 0.500
Tl 0.000 0.500 0.000
Tl 0.500 0.000 0.000
Cl 0.500 0.500 0.500
C 0.000 0.000 0.000

---

No. 18
! TlC3Cl | Alexandria | GGA-PBE | optimized geometry; values from VASP
! Energy above the most stable polymorph in this dataset = 0.222 eV per atom
! VASP energy = -13.99 eV/cell
&SYSTEM
  ibrav = 0, nat = 5, ntyp = 3
/
ATOMIC_SPECIES
Cl 35.45 Cl.upf
C 12.01 C.upf
Tl 204.38 Tl.upf
CELL_PARAMETERS angstrom
4.579 0.000 0.000
0.000 4.579 0.000
0.000 0.000 4.579
ATOMIC_POSITIONS crystal
Cl 0.500 0.500 0.500
C 0.000 0.000 0.500
C 0.500 0.000 0.000
C 0.000 0.500 0.000
Tl 0.000 0.000 0.000

---

No. 19
! Tl2VCCl | Alexandria | GGA-PBE | optimized geometry; values from VASP
! VASP energy = -16.89 eV/cell
&SYSTEM
  ibrav = 0, nat = 5, ntyp = 4
/
ATOMIC_SPECIES
Tl 204.38 Tl.upf
C 12.01 C.upf
V 50.94 V.upf
Cl 35.45 Cl.upf
CELL_PARAMETERS angstrom
-4.841 -0.714 0.846
0.412 -4.263 -1.243
1.008 -1.271 4.693
ATOMIC_POSITIONS crystal
Tl 0.000 0.000 0.500
Tl 0.500 0.000 0.000
C 0.000 0.000 0.000
V 0.500 0.500 0.500
Cl 0.000 0.500 0.000

---

No. 20
! Y3TlCCl | Alexandria | GGA-PBE | optimized geometry; values from VASP
! VASP energy = -73.41 eV/cell
&SYSTEM
  ibrav = 0, nat = 12, ntyp = 4
/
ATOMIC_SPECIES
Cl 35.45 Cl.upf
Y 88.91 Y.upf
C 12.01 C.upf
Tl 204.38 Tl.upf
CELL_PARAMETERS angstrom
-1.419 -3.220 0.866
-0.648 -2.171 -9.139
8.472 -3.153 2.159
ATOMIC_POSITIONS crystal
Cl 0.750 0.856 0.459
Cl 0.250 0.144 0.541
Y 0.750 0.798 0.165
Y 0.250 0.638 0.425
Y 0.750 0.428 0.129
Y 0.750 0.362 0.575
Y 0.250 0.202 0.835
Y 0.250 0.572 0.871
C 0.250 0.620 0.159
C 0.750 0.380 0.841
Tl 0.250 0.115 0.159
Tl 0.750 0.885 0.841

---

No. 21
! Tm7CCl12 | Alexandria | GGA-PBE | optimized geometry; values from VASP
! VASP energy = -100.17 eV/cell
&SYSTEM
  ibrav = 0, nat = 20, ntyp = 3
/
ATOMIC_SPECIES
Cl 35.45 Cl.upf
Tm 168.93 Tm.upf
C 12.01 C.upf
CELL_PARAMETERS angstrom
0.778 8.269 -1.460
-0.465 -3.884 -7.471
-7.337 -1.216 3.976
ATOMIC_POSITIONS crystal
Cl 0.468 0.157 0.386
Cl 0.614 0.532 0.843
Cl 0.313 0.776 0.922
Cl 0.386 0.468 0.157
Cl 0.843 0.614 0.532
Cl 0.776 0.922 0.313
Cl 0.687 0.224 0.078
Cl 0.922 0.313 0.776
Cl 0.532 0.843 0.614
Cl 0.224 0.078 0.687
Cl 0.157 0.386 0.468
Cl 0.078 0.687 0.224
Tm 0.032 0.311 0.106
Tm 0.106 0.032 0.311
Tm 0.968 0.689 0.894
Tm 0.311 0.106 0.032
Tm 0.894 0.968 0.689
Tm 0.500 0.500 0.500
Tm 0.689 0.894 0.968
C 0.000 0.000 0.000

---

No. 22
! Tm4C2Cl | Alexandria | GGA-PBE | optimized geometry; values from VASP
! VASP energy = -43.62 eV/cell
&SYSTEM
  ibrav = 0, nat = 7, ntyp = 3
/
ATOMIC_SPECIES
Tm 168.93 Tm.upf
C 12.01 C.upf
Cl 35.45 Cl.upf
CELL_PARAMETERS angstrom
-2.357 -2.668 -0.227
1.042 -3.357 0.609
-3.193 -0.624 12.461
ATOMIC_POSITIONS crystal
Tm 0.278 0.278 0.167
Tm 0.123 0.123 0.630
Tm 0.877 0.877 0.370
Tm 0.722 0.722 0.833
C 0.580 0.580 0.260
C 0.420 0.420 0.740
Cl 0.000 0.000 0.000

---

No. 23
! Tm2CCl3 | Alexandria | GGA-PBE | optimized geometry; values from VASP
! VASP energy = -66.17 eV/cell
&SYSTEM
  ibrav = 0, nat = 12, ntyp = 3
/
ATOMIC_SPECIES
Cl 35.45 Cl.upf
Tm 168.93 Tm.upf
C 12.01 C.upf
CELL_PARAMETERS angstrom
3.855 0.000 0.000
1.927 8.494 0.166
1.927 2.163 8.412
ATOMIC_POSITIONS crystal
Cl 0.332 0.343 0.993
Cl 0.777 0.827 0.620
Cl 0.039 0.135 0.787
Cl 0.668 0.657 0.007
Cl 0.223 0.173 0.380
Cl 0.961 0.865 0.213
Tm 0.126 0.511 0.237
Tm 0.594 0.236 0.575
Tm 0.874 0.489 0.763
Tm 0.406 0.764 0.425
C 0.458 0.489 0.595
C 0.542 0.511 0.405

---

No. 24
! Tm2CCl | Alexandria | GGA-PBE | optimized geometry; values from VASP
! VASP energy = -24.36 eV/cell
&SYSTEM
  ibrav = 0, nat = 4, ntyp = 3
/
ATOMIC_SPECIES
Cl 35.45 Cl.upf
Tm 168.93 Tm.upf
C 12.01 C.upf
CELL_PARAMETERS angstrom
3.577 0.000 0.000
1.789 3.098 0.000
1.789 1.033 6.758
ATOMIC_POSITIONS crystal
Cl 0.499 0.499 0.504
Tm 0.271 0.271 0.186
Tm 0.062 0.062 0.815
C 0.669 0.669 0.994